Here is crystalline CsCo2TcB at its relaxed geometry from Alexandria via LeMat-Bulk. Energies are from PBE-GGA.

Summary:
- formation energy (eV/atom) = 3.467
- Fermi-level density of states (states/eV per atom) = 1.952

a = 4.6380 Å, b = 4.6380 Å, c = 5.1379 Å
α = 90.00°, β = 90.00°, γ = 90.00°
With the nearest neighbours (Å) after each atom.
Atoms (fractional coordinates):
Cs 0.0000 0.0000 0.0000  4 Co 2.32, 2 Tc 2.57
Co 0.0000 0.5000 0.0000  2 Cs 2.32
Co 0.5000 0.0000 0.0000  2 Cs 2.32
Tc 0.0000 0.0000 0.5000  2 Cs 2.57
B 0.5000 0.5000 0.5000  4 Tc 3.28, 8 Co 3.46


Here is crystalline MgZrAg2 at its relaxed geometry from Alexandria via LeMat-Bulk. Energies are from PBE-GGA.

Summary:
- formation energy (eV/atom) = -0.031
- Fermi-level density of states (states/eV per atom) = 0.778

a = 3.0274 Å, b = 3.0274 Å, c = 8.6031 Å
α = 90.00°, β = 90.00°, γ = 90.00°
With the nearest neighbours (Å) after each atom.
Atoms (fractional coordinates):
Mg 0.0000 0.0000 0.0000  4 Ag 2.91, 4 Mg 3.03, 4 Zr 3.23
Zr 0.5000 0.5000 0.2815  4 Zr 3.03, 4 Ag 3.06, 4 Mg 3.23
Ag 0.0000 0.0000 0.5355  8 Ag 2.95-3.03, 4 Zr 3.06
Ag 0.5000 0.5000 0.7713  4 Mg 2.91, 8 Ag 2.95-3.03


Here is crystalline Cr2AgMo at its relaxed geometry from Alexandria via LeMat-Bulk. Energies are from PBE-GGA.

Summary:
- formation energy (eV/atom) = 0.517
- excess energy over the best structure of this formula in the dataset (meV/atom) = 169
- Fermi-level density of states (states/eV per atom) = 1.029

a = 5.0703 Å, b = 5.0703 Å, c = 5.0703 Å
α = 145.34°, β = 129.14°, γ = 63.02°
With the nearest neighbours (Å) after each atom.
Atoms (fractional coordinates):
Cr 0.0000 0.0000 0.0000  2 Cr 2.31
Cr 0.7986 0.2986 0.5000  2 Cr 2.31
Ag 0.5328 0.5328 0.0000  8 Cr 2.67-2.97, 4 Mo 2.85-2.89
Mo 0.2531 0.7531 0.5000  6 Cr 2.66-2.68, 4 Ag 2.85-2.89


Here is crystalline Nd2BPdPt6 at its relaxed geometry from Alexandria via LeMat-Bulk. Energies are from PBE-GGA.

Summary:
- formation energy (eV/atom) = -0.761
- Fermi-level density of states (states/eV per atom) = 0.643

a = 5.6211 Å, b = 5.6219 Å, c = 7.6002 Å
α = 68.42°, β = 68.47°, γ = 60.09°
With the nearest neighbours (Å) after each atom.
Atoms (fractional coordinates):
Nd 0.2108 0.2097 0.3686  6 Pt 3.08-3.09, 3 Pd 3.37-3.38
Nd 0.7892 0.7903 0.6314  6 Pt 3.08-3.09, 3 Pd 3.37-3.38
B 0.0000 0.0000 0.0000  6 Pt 2.10
Pd 0.5000 0.5000 0.5000  6 Pt 2.68
Pt 0.2329 0.2344 0.8155  1 B 2.10
Pt 0.2343 0.7182 0.8154  1 B 2.10
Pt 0.2837 0.7648 0.1836  1 B 2.10
Pt 0.7163 0.2352 0.8164  1 B 2.10
Pt 0.7657 0.2818 0.1846  1 B 2.10
Pt 0.7671 0.7656 0.1845  1 B 2.10


Here is crystalline NbCu2Pd2 at its relaxed geometry from Alexandria via LeMat-Bulk. Energies are from PBE-GGA.

Summary:
- formation energy (eV/atom) = -0.216
- excess energy over the best structure of this formula in the dataset (meV/atom) = 0
- Fermi-level density of states (states/eV per atom) = 0.409

a = 4.7521 Å, b = 4.7521 Å, c = 6.1481 Å
α = 129.76°, β = 129.76°, γ = 46.94°
With the nearest neighbours (Å) after each atom.
Atoms (fractional coordinates):
Nb 0.0000 0.0000 0.0000  6 Pd 2.69-2.81, 6 Cu 2.73-2.75
Cu 0.1995 0.1995 0.5929  3 Cu 2.66-2.80, 6 Pd 2.71-2.81, 3 Nb 2.73-2.75
Cu 0.8005 0.8005 0.4071  3 Cu 2.66-2.80, 6 Pd 2.71-2.81, 3 Nb 2.73-2.75
Pd 0.4058 0.4058 0.2032  3 Nb 2.69-2.81, 6 Cu 2.71-2.81, 3 Pd 2.77-2.78
Pd 0.5942 0.5942 0.7968  3 Nb 2.69-2.81, 6 Cu 2.71-2.81, 3 Pd 2.77-2.78


Here is crystalline EuYAs at its relaxed geometry from Alexandria via LeMat-Bulk. Energies are from PBE-GGA.

Summary:
- formation energy (eV/atom) = -0.679
- Fermi-level density of states (states/eV per atom) = 0.708

a = 4.7270 Å, b = 4.7270 Å, c = 4.7496 Å
α = 90.00°, β = 90.00°, γ = 120.00°
With the nearest neighbours (Å) after each atom.
Atoms (fractional coordinates):
Eu 0.0000 0.0000 0.0000  3 As 3.25, 6 Y 3.62
Y 0.6667 0.3333 0.4999  3 As 2.80
As 0.3333 0.6667 0.3722  3 Y 2.80


Here is crystalline Li2MoRh at its relaxed geometry from Alexandria via LeMat-Bulk. Energies are from PBE-GGA.

Summary:
- formation energy (eV/atom) = 0.110
- excess energy over the best structure of this formula in the dataset (meV/atom) = 70
- Fermi-level density of states (states/eV per atom) = 0.685

a = 4.5329 Å, b = 4.5329 Å, c = 5.0589 Å
α = 96.11°, β = 96.11°, γ = 34.59°
With the nearest neighbours (Å) after each atom.
Atoms (fractional coordinates):
Li 0.0000 0.0000 0.0000  5 Li 2.45-2.70
Li 0.2451 0.2451 0.7990  5 Li 2.45-2.70, 2 Rh 2.74
Mo 0.7566 0.7566 0.3183  3 Rh 2.41-2.66, 2 Mo 2.70
Rh 0.5111 0.5111 0.5026  3 Mo 2.41-2.66, 2 Rh 2.70


Here is crystalline Dy4ErRu2 at its relaxed geometry from Alexandria via LeMat-Bulk. Energies are from PBE-GGA.

Summary:
- formation energy (eV/atom) = -0.251
- Fermi-level density of states (states/eV per atom) = 0.950

a = 7.7749 Å, b = 6.3193 Å, c = 7.8640 Å
α = 90.00°, β = 112.56°, γ = 90.00°
With the nearest neighbours (Å) after each atom.
Atoms (fractional coordinates):
Dy 0.1228 0.2500 0.4790  2 Ru 2.69-2.79
Dy 0.1761 0.7500 0.2545  2 Ru 2.72-2.90
Dy 0.2583 0.5014 0.9144  4 Ru 2.94-3.05, 2 Dy 3.14-3.18
Dy 0.2583 0.9986 0.9144  4 Ru 2.94-3.05, 2 Dy 3.14-3.18
Dy 0.7417 0.0014 0.0856  4 Ru 2.94-3.05, 2 Dy 3.14-3.18
Dy 0.7417 0.4986 0.0856  4 Ru 2.94-3.05, 2 Dy 3.14-3.18
Dy 0.8239 0.2500 0.7455  2 Ru 2.72-2.90
Dy 0.8772 0.7500 0.5210  2 Ru 2.69-2.79
Er 0.4726 0.2500 0.3359  1 Ru 2.81
Er 0.5274 0.7500 0.6641  1 Ru 2.81
Ru 0.0873 0.2500 0.1247  4 Dy 2.69-2.95, 1 Er 2.81
Ru 0.4784 0.2500 0.7554  4 Dy 2.72-2.94
Ru 0.5216 0.7500 0.2446  4 Dy 2.72-2.94
Ru 0.9127 0.7500 0.8753  4 Dy 2.69-2.95, 1 Er 2.81


Here is crystalline Pm2BiTe at its relaxed geometry from Alexandria via LeMat-Bulk. Energies are from PBE-GGA.

Summary:
- excess energy over the best structure of this formula in the dataset (meV/atom) = 67
- Fermi-level density of states (states/eV per atom) = 0.875
- formation energy without anion corrections (kcal/mol of atoms) = -26.2

a = 8.2440 Å, b = 8.2440 Å, c = 8.2440 Å
α = 31.15°, β = 31.15°, γ = 31.15°
With the nearest neighbours (Å) after each atom.
Atoms (fractional coordinates):
Pm 0.0000 0.0000 0.0000  3 Bi 3.19, 3 Te 3.28
Pm 0.1735 0.1735 0.1735  3 Bi 3.15, 3 Te 3.26
Bi 0.5854 0.5854 0.5854  6 Pm 3.15-3.19
Te 0.7544 0.7544 0.7544  6 Pm 3.26-3.28


Here is crystalline Pr12NdDy5 at its relaxed geometry from Alexandria via LeMat-Bulk. Energies are from PBE-GGA.

Summary:
- formation energy (eV/atom) = 0.019
- Fermi-level density of states (states/eV per atom) = 1.612

a = 10.9934 Å, b = 10.9934 Å, c = 5.1938 Å
α = 90.00°, β = 90.00°, γ = 90.17°
With the nearest neighbours (Å) after each atom.
Atoms (fractional coordinates):
Pr 0.0020 0.6691 0.5000  4 Dy 3.63-3.64, 8 Pr 3.67-3.72
Pr 0.1640 0.1640 0.0000  4 Dy 3.64, 8 Pr 3.67-3.72
Pr 0.1676 0.5021 0.0000  3 Dy 3.64-3.65, 1 Nd 3.65, 8 Pr 3.67-3.72
Pr 0.3309 0.9980 0.5000  4 Dy 3.63-3.64, 8 Pr 3.67-3.72
Pr 0.3340 0.3340 0.5000  2 Nd 3.66, 2 Dy 3.67, 8 Pr 3.68-3.70
Pr 0.4979 0.8324 0.0000  3 Dy 3.64-3.65, 1 Nd 3.65, 8 Pr 3.67-3.72
Pr 0.5021 0.1676 0.0000  3 Dy 3.64-3.65, 1 Nd 3.65, 8 Pr 3.67-3.72
Pr 0.6660 0.6660 0.5000  2 Nd 3.66, 2 Dy 3.67, 8 Pr 3.68-3.70
Pr 0.6691 0.0020 0.5000  4 Dy 3.63-3.64, 8 Pr 3.67-3.72
Pr 0.8324 0.4979 0.0000  3 Dy 3.64-3.65, 1 Nd 3.65, 8 Pr 3.67-3.72
Pr 0.8360 0.8360 0.0000  4 Dy 3.64, 8 Pr 3.67-3.72
Pr 0.9980 0.3309 0.5000  4 Dy 3.63-3.64, 8 Pr 3.67-3.72
Nd 0.5000 0.5000 0.0000  8 Pr 3.65-3.66, 4 Dy 3.68
Dy 0.0000 0.0000 0.5000  8 Pr 3.64, 4 Dy 3.67
Dy 0.1667 0.8333 0.0000  8 Pr 3.64, 4 Dy 3.66-3.67
Dy 0.3323 0.6677 0.5000  8 Pr 3.63-3.67, 2 Dy 3.66, 2 Nd 3.68
Dy 0.6677 0.3323 0.5000  8 Pr 3.63-3.67, 2 Dy 3.66, 2 Nd 3.68
Dy 0.8333 0.1667 0.0000  8 Pr 3.64, 4 Dy 3.66-3.67


Here is crystalline Pm3Cu2Pd at its relaxed geometry from Alexandria via LeMat-Bulk. Energies are from PBE-GGA.

Summary:
- formation energy (eV/atom) = -0.359
- excess energy over the best structure of this formula in the dataset (meV/atom) = 0
- Fermi-level density of states (states/eV per atom) = 0.835

a = 3.5686 Å, b = 3.5686 Å, c = 10.8291 Å
α = 90.00°, β = 90.00°, γ = 90.00°
With the nearest neighbours (Å) after each atom.
Atoms (fractional coordinates):
Pm 0.0000 0.0000 0.0000  8 Cu 3.09
Pm 0.0000 0.0000 0.3329  4 Pd 3.11, 4 Cu 3.11
Pm 0.0000 0.0000 0.6671  4 Pd 3.11, 4 Cu 3.11
Cu 0.5000 0.5000 0.1644  8 Pm 3.09-3.11
Cu 0.5000 0.5000 0.8356  8 Pm 3.09-3.11
Pd 0.5000 0.5000 0.5000  8 Pm 3.11


Here is crystalline InTeF2 at its relaxed geometry from Alexandria via LeMat-Bulk. Energies are from PBE-GGA.

Summary:
- excess energy over the best structure of this formula in the dataset (meV/atom) = 398
- Fermi-level density of states (states/eV per atom) = 1.098
- formation energy without anion corrections (kcal/mol of atoms) = -19.6

a = 4.6504 Å, b = 4.6504 Å, c = 4.6504 Å
α = 60.00°, β = 60.00°, γ = 60.00°
With the nearest neighbours (Å) after each atom.
Atoms (fractional coordinates):
In 0.0000 0.0000 0.0000  8 F 2.85
Te 0.5000 0.5000 0.5000  8 F 2.85
F 0.2500 0.2500 0.2500  4 Te 2.85, 4 In 2.85
F 0.7500 0.7500 0.7500  4 Te 2.85, 4 In 2.85


Question: Which formula does entry 12 have?
Answer: InTeF2


Question: Which value of Fermi-level density of states does entry 2 give?
Answer: 0.778 states/eV per atom


Question: Among the records above, which one has the highest Fermi-level density of states?
Answer: CsCo2TcB


Question: Which value of Fermi-level density of states does entry 3 give?
Answer: 1.029 states/eV per atom